(1)
Material: AlFe3
Method: DFT, GGA-PBEsol
State: optimized geometry

Output
- E_tot: -7.901 eV per atom
- Calculated formation energy: -0.155 eV/atom

Cell lengths 2.9145, 3.9729, 7.8745 Å; angles 90.00, 90.00, 90.00 degrees
Space group Immm (No. 71)
Symmetry-distinct sites (fractional):
Al 0.0000 0.0000 0.0000 x2
Fe 0.0000 0.0000 0.5000 x2
Fe 0.0000 0.5000 0.2415 x4

(2)
Material: HfTaBeAs2
Method: DFT, GGA-PBEsol
State: optimized geometry

Output
- E_tot: -6.826 eV per atom
- Calculated formation energy: 0.628 eV/atom

Cell lengths 4.3619, 4.3619, 4.4505 Å; angles 90.00, 90.00, 90.00 degrees
Space group P4/mmm (No. 123)
Symmetry-distinct sites (fractional):
Hf 0.0000 0.0000 0.0000 x1
Ta 0.5000 0.5000 0.0000 x1
Be 0.0000 0.0000 0.5000 x1
As 0.0000 0.5000 0.5000 x2

(3)
Material: Tb2SO2
Method: DFT, GGA-PBEsol
State: optimized geometry

Output
- ΔE_f (raw): -3.264 eV/atom
- E_tot: -8.244 eV per atom

Cell lengths 3.7827, 3.7827, 6.5532 Å; angles 90.00, 90.00, 120.00 degrees
Space group P-3m1 (No. 164)
Symmetry-distinct sites (fractional):
Tb 0.3333 0.6667 0.2818 x2
S 0.0000 0.0000 0.0000 x1
O 0.3333 0.6667 0.6295 x2

(4)
Material: Cd2AgRh
Method: DFT, GGA-PBEsol
State: optimized geometry

Output
- Relative energy among the computed polymorphs: 3.4 kJ/mol of atoms
- E_tot: -3.538 eV per atom
- Calculated formation energy: -0.077 eV/atom

Cell lengths 3.0387, 3.6952, 6.0058 Å; angles 90.00, 90.00, 90.00 degrees
Space group Pmmm (No. 47)
Symmetry-distinct sites (fractional):
Cd 0.0000 0.0000 0.2382 x2
Ag 0.5000 0.5000 0.5000 x1
Rh 0.5000 0.5000 0.0000 x1